(1)
! Dy7InCo4Ge12, optimized geometry, DFT GGA-PBE; values from VASP
! Calculated total energy, eV for the cell shown: -135.25
! ρ, Mg/m³: 8.67
! Space-group type: P4/m
&SYSTEM
  ibrav = 0, nat = 24, ntyp = 4
/
ATOMIC_SPECIES
Ge 72.64 Ge.upf
Co 58.93 Co.upf
Dy 162.50 Dy.upf
In 114.82 In.upf
ATOMIC_POSITIONS crystal
Ge 0.8872 0.7146 0.0000
Ge 0.1954 0.0652 0.5000
Ge 0.4868 0.2131 0.0000
Ge 0.7146 0.1128 0.0000
Ge 0.2854 0.8872 0.0000
Ge 0.1128 0.2854 0.0000
Ge 0.8046 0.9348 0.5000
Ge 0.7869 0.4868 0.0000
Ge 0.0652 0.8046 0.5000
Ge 0.9348 0.1954 0.5000
Ge 0.5132 0.7869 0.0000
Ge 0.2131 0.5132 0.0000
Co 0.1175 0.7212 0.0000
Co 0.8824 0.2788 0.0000
Co 0.2788 0.1175 0.0000
Co 0.7212 0.8824 0.0000
Dy 0.6743 0.3228 0.5000
Dy 0.0000 0.5000 0.5000
Dy 0.6772 0.6743 0.5000
Dy 0.3257 0.6772 0.5000
Dy 0.3228 0.3257 0.5000
Dy 0.0000 0.0000 0.0000
Dy 0.5000 0.0000 0.5000
In 0.5000 0.5000 0.0000
CELL_PARAMETERS angstrom
10.3803 0.0000 0.0000
0.0000 10.3803 0.0000
0.0000 0.0000 4.1935

***

(2)
! HfAgTe2, optimized geometry, DFT GGA-PBE; values from VASP
! Calculated total energy, eV for the cell shown: -18.19
! ρ, Mg/m³: 9.46
! Space-group type: F-43m
&SYSTEM
  ibrav = 0, nat = 4, ntyp = 3
/
ATOMIC_SPECIES
Te 127.60 Te.upf
Ag 107.87 Ag.upf
Hf 178.49 Hf.upf
ATOMIC_POSITIONS crystal
Te 0.2500 0.2500 0.2500
Te 0.5000 0.5000 0.5000
Ag 0.0000 0.0000 0.0000
Hf 0.7500 0.7500 0.7500
CELL_PARAMETERS angstrom
0.0000 3.6222 3.6222
3.6222 0.0000 3.6222
3.6222 3.6222 0.0000

***

(3)
! TlZnAg2, optimized geometry, DFT GGA-PBE; values from VASP
! Calculated total energy, eV for the cell shown: -8.74
! ρ, Mg/m³: 10.10
! Space-group type: F-43m
&SYSTEM
  ibrav = 0, nat = 4, ntyp = 3
/
ATOMIC_SPECIES
Zn 65.41 Zn.upf
Ag 107.87 Ag.upf
Tl 204.38 Tl.upf
ATOMIC_POSITIONS crystal
Zn 0.2500 0.2500 0.2500
Ag 0.0000 0.0000 0.0000
Ag 0.7500 0.7500 0.7500
Tl 0.5000 0.5000 0.5000
CELL_PARAMETERS angstrom
0.0000 3.4172 3.4172
3.4172 0.0000 3.4172
3.4172 3.4172 0.0000

***

(4)
! HfNbSb2, optimized geometry, DFT GGA-PBE; values from VASP
! Calculated total energy, eV for the cell shown: -27.58
! ρ, Mg/m³: 9.78
! Space-group type: F-43m
&SYSTEM
  ibrav = 0, nat = 4, ntyp = 3
/
ATOMIC_SPECIES
Sb 121.76 Sb.upf
Hf 178.49 Hf.upf
Nb 92.91 Nb.upf
ATOMIC_POSITIONS crystal
Sb 0.7500 0.7500 0.7500
Sb 0.0000 0.0000 0.0000
Hf 0.2500 0.2500 0.2500
Nb 0.5000 0.5000 0.5000
CELL_PARAMETERS angstrom
1.1021 -4.7975 0.7635
-2.9240 -2.7952 2.9069
-2.8429 -3.5598 -2.0147

***

(5)
! DyY2Tm2Lu2Ni2Te2, optimized geometry, DFT GGA-PBE; values from VASP
! Calculated total energy, eV for the cell shown: -60.32
! E above lowest polymorph, eV/atom: 0.021
! ρ, Mg/m³: 8.31
! Space-group type: Imm2
&SYSTEM
  ibrav = 0, nat = 11, ntyp = 6
/
ATOMIC_SPECIES
Dy 162.50 Dy.upf
Ni 58.69 Ni.upf
Te 127.60 Te.upf
Lu 174.97 Lu.upf
Y 88.91 Y.upf
Tm 168.93 Tm.upf
ATOMIC_POSITIONS crystal
Dy 0.4757 0.4757 0.0000
Ni 0.6420 0.4021 0.2399
Ni 0.1623 0.4021 0.7602
Te 0.1380 0.1380 0.0000
Te 0.7456 0.2456 0.5000
Lu 0.0288 0.8951 0.1337
Lu 0.7614 0.8951 0.8663
Y 0.4144 0.0994 0.3150
Y 0.7844 0.0994 0.6850
Tm 0.3943 0.7469 0.6475
Tm 0.0994 0.7469 0.3525
CELL_PARAMETERS angstrom
-1.9116 7.7129 4.7484
1.9116 -7.7129 4.7484
1.9116 7.7129 -4.7484

***

(6)
! CdPPtO, optimized geometry, DFT GGA-PBE; values from VASP
! Calculated total energy, eV for the cell shown: -38.00
! E above lowest polymorph, eV/atom: 0.000
! ρ, Mg/m³: 8.49
! Space-group type: P4/nmm
&SYSTEM
  ibrav = 0, nat = 8, ntyp = 4
/
ATOMIC_SPECIES
Cd 112.41 Cd.upf
Pt 195.08 Pt.upf
O 16.00 O.upf
P 30.97 P.upf
ATOMIC_POSITIONS crystal
Cd 0.0000 0.5000 0.0831
Cd 0.5000 0.0000 0.9169
Pt 0.5000 0.5000 0.5000
Pt 0.0000 0.0000 0.5000
O 0.0000 0.0000 0.0000
O 0.5000 0.5000 0.0000
P 0.0000 0.5000 0.6462
P 0.5000 0.0000 0.3538
CELL_PARAMETERS angstrom
-1.6470 -3.3132 -2.1222
2.2844 1.0679 -3.4402
5.7210 -4.4020 2.4325

***

(7)
! ErThB4, optimized geometry, DFT GGA-PBE; values from VASP
! Calculated total energy, eV for the cell shown: -41.93
! E above lowest polymorph, eV/atom: 0.000
! ρ, Mg/m³: 9.74
! Space-group type: P6/mmm
&SYSTEM
  ibrav = 0, nat = 6, ntyp = 3
/
ATOMIC_SPECIES
B 10.81 B.upf
Th 232.04 Th.upf
Er 167.26 Er.upf
ATOMIC_POSITIONS crystal
B 0.6667 0.3333 0.7655
B 0.3333 0.6667 0.2345
B 0.6667 0.3333 0.2345
B 0.3333 0.6667 0.7655
Th 0.0000 0.0000 0.5000
Er 0.0000 0.0000 0.0000
CELL_PARAMETERS angstrom
-0.1483 0.3043 3.2698
2.5160 -1.5950 -1.3898
4.1302 6.9124 -0.4559

***

(8)
! NaNbO3, optimized geometry, DFT GGA-PBE; values from VASP
! Calculated total energy, eV for the cell shown: -153.29
! ρ, Mg/m³: 4.55
! Space-group type: Pmc2_1
&SYSTEM
  ibrav = 0, nat = 20, ntyp = 3
/
ATOMIC_SPECIES
O 16.00 O.upf
Na 22.99 Na.upf
Nb 92.91 Nb.upf
ATOMIC_POSITIONS crystal
O 0.0313 0.2894 0.5449
O 0.4435 0.7867 0.9529
O 0.0313 0.7106 0.5449
O 0.7479 0.0000 0.6774
O 0.5313 0.2894 0.4551
O 0.2479 0.0000 0.3226
O 0.9435 0.2133 0.0471
O 0.4435 0.2133 0.9529
O 0.9435 0.7867 0.0471
O 0.5313 0.7106 0.4551
O 0.7152 0.5000 0.8258
O 0.2152 0.5000 0.1742
Na 0.2370 0.0000 0.7437
Na 0.2888 0.5000 0.7394
Na 0.7370 0.0000 0.2563
Na 0.7888 0.5000 0.2606
Nb 0.7662 0.2507 0.7561
Nb 0.2662 0.7493 0.2439
Nb 0.2662 0.2507 0.2439
Nb 0.7662 0.7493 0.7561
CELL_PARAMETERS angstrom
-4.7755 0.7720 -2.7864
-3.9254 -3.4010 5.7854
-0.6357 4.8932 2.4451

***

(9)
! PaGaPO, optimized geometry, DFT GGA-PBE; values from VASP
! Calculated total energy, eV for the cell shown: -53.03
! E above lowest polymorph, eV/atom: 0.143
! ρ, Mg/m³: 7.56
! Space-group type: Pmc2_1
&SYSTEM
  ibrav = 0, nat = 8, ntyp = 4
/
ATOMIC_SPECIES
P 30.97 P.upf
Ga 69.72 Ga.upf
Pa 231.04 Pa.upf
O 16.00 O.upf
ATOMIC_POSITIONS crystal
P 0.5000 0.2182 0.9337
P 0.5000 0.7818 0.4337
Ga 0.0000 0.5715 0.4487
Ga 0.0000 0.4285 0.9487
Pa 0.5000 0.2167 0.4342
Pa 0.5000 0.7833 0.9342
O 0.0000 0.1060 0.4374
O 0.0000 0.8940 0.9374
CELL_PARAMETERS angstrom
-2.7523 1.1872 2.5273
-3.3706 -5.9354 -0.8824
2.9291 -2.2981 4.2694

***

(10)
! PmAgBi2, optimized geometry, DFT GGA-PBE; values from VASP
! Calculated total energy, eV for the cell shown: -35.52
! ρ, Mg/m³: 10.17
! Space-group type: P4/nmm
&SYSTEM
  ibrav = 0, nat = 8, ntyp = 3
/
ATOMIC_SPECIES
Bi 208.98 Bi.upf
Pm 145.00 Pm.upf
Ag 107.87 Ag.upf
ATOMIC_POSITIONS crystal
Bi 0.5000 0.0000 0.1866
Bi 0.5000 0.5000 0.5000
Bi 0.0000 0.0000 0.5000
Bi 0.0000 0.5000 0.8134
Pm 0.0000 0.5000 0.2511
Pm 0.5000 0.0000 0.7489
Ag 0.0000 0.0000 0.0000
Ag 0.5000 0.5000 0.0000
CELL_PARAMETERS angstrom
-0.6950 3.0667 3.3427
-0.6388 -3.4142 2.9994
10.1796 -0.0251 2.1396

***

(11)
! LiYGaAu, optimized geometry, DFT GGA-PBE; values from VASP
! Calculated total energy, eV for the cell shown: -16.94
! E above lowest polymorph, eV/atom: 0.054
! ρ, Mg/m³: 8.28
! Space-group type: F-43m
&SYSTEM
  ibrav = 0, nat = 4, ntyp = 4
/
ATOMIC_SPECIES
Ga 69.72 Ga.upf
Y 88.91 Y.upf
Au 196.97 Au.upf
Li 6.94 Li.upf
ATOMIC_POSITIONS crystal
Ga 0.5000 0.5000 0.5000
Y 0.2500 0.2500 0.2500
Au 0.7500 0.7500 0.7500
Li 0.0000 0.0000 0.0000
CELL_PARAMETERS angstrom
-1.0030 -4.1505 -1.9296
-4.3988 -0.9886 -1.2763
-1.1186 -0.2627 -4.5427

***

(12)
! DyHo2Tm3As2Os, optimized geometry, DFT GGA-PBE; values from VASP
! Calculated total energy, eV for the cell shown: -54.67
! ρ, Mg/m³: 10.18
! Space-group type: Amm2
&SYSTEM
  ibrav = 0, nat = 9, ntyp = 5
/
ATOMIC_SPECIES
Tm 168.93 Tm.upf
Dy 162.50 Dy.upf
Ho 164.93 Ho.upf
As 74.92 As.upf
Os 190.23 Os.upf
ATOMIC_POSITIONS crystal
Tm 0.5000 0.7562 0.9996
Tm 0.5000 0.2451 0.2451
Tm 0.5000 0.9996 0.7562
Dy 0.0000 0.5956 0.5956
Ho 0.0000 0.9993 0.4029
Ho 0.0000 0.4029 0.9993
As 0.5000 0.3325 0.6666
As 0.5000 0.6666 0.3325
Os 0.0000 0.0023 0.0023
CELL_PARAMETERS angstrom
4.1392 0.0000 0.0000
0.0000 6.7597 3.9050
0.0000 -6.7597 3.9050

***

(13)
! K2HoTm3C2, optimized geometry, DFT GGA-PBE; values from VASP
! Calculated total energy, eV for the cell shown: -39.17
! ρ, Mg/m³: 5.66
! Space-group type: P3m1
&SYSTEM
  ibrav = 0, nat = 8, ntyp = 4
/
ATOMIC_SPECIES
Ho 164.93 Ho.upf
Tm 168.93 Tm.upf
K 39.10 K.upf
C 12.01 C.upf
ATOMIC_POSITIONS crystal
Ho 0.0000 0.0000 0.9356
Tm 0.6667 0.3333 0.4359
Tm 0.0000 0.0000 0.5637
Tm 0.6667 0.3333 0.0645
K 0.0000 0.0000 0.2503
K 0.6667 0.3333 0.7492
C 0.3333 0.6667 0.0010
C 0.3333 0.6667 0.4998
CELL_PARAMETERS angstrom
3.5839 0.0000 0.0000
-1.7920 3.1038 0.0000
0.0000 0.0000 20.4283

***

(14)
! Pr4Cd3Co2, optimized geometry, DFT GGA-PBE; values from VASP
! Calculated total energy, eV for the cell shown: -38.11
! ρ, Mg/m³: 7.52
! DFT formation energy, eV per atom: -0.23
! Space-group type: P2/m
&SYSTEM
  ibrav = 0, nat = 9, ntyp = 3
/
ATOMIC_SPECIES
Co 58.93 Co.upf
Pr 140.91 Pr.upf
Cd 112.41 Cd.upf
ATOMIC_POSITIONS crystal
Co 0.8542 0.0000 0.3972
Co 0.1458 0.0000 0.6028
Pr 0.4074 0.5000 0.7787
Pr 0.5926 0.5000 0.2213
Pr 0.1043 0.5000 0.3084
Pr 0.8957 0.5000 0.6916
Cd 0.2015 0.0000 0.9957
Cd 0.7985 0.0000 0.0043
Cd 0.5000 0.0000 0.5000
CELL_PARAMETERS angstrom
-2.0884 -5.4831 4.7135
3.5557 -0.1216 1.4340
-1.2187 7.2934 3.6406

***

(15)
! HoZr, optimized geometry, DFT GGA-PBE; values from VASP
! Calculated total energy, eV for the cell shown: -8.58
! ρ, Mg/m³: 6.19
! DFT formation energy, eV per atom: 2.27
! Space-group type: F-43m
&SYSTEM
  ibrav = 0, nat = 2, ntyp = 2
/
ATOMIC_SPECIES
Zr 91.22 Zr.upf
Ho 164.93 Ho.upf
ATOMIC_POSITIONS crystal
Zr 0.2500 0.2500 0.2500
Ho 0.0000 0.0000 0.0000
CELL_PARAMETERS angstrom
3.6918 1.2479 2.4395
-0.0173 -0.4282 4.5776
2.6104 -3.2010 2.0193

***

(16)
! Li2Y2In2CuAg, optimized geometry, DFT GGA-PBE; values from VASP
! Calculated total energy, eV for the cell shown: -31.86
! ρ, Mg/m³: 6.25
! Space-group type: P-4m2
&SYSTEM
  ibrav = 0, nat = 8, ntyp = 5
/
ATOMIC_SPECIES
Li 6.94 Li.upf
Cu 63.55 Cu.upf
In 114.82 In.upf
Y 88.91 Y.upf
Ag 107.87 Ag.upf
ATOMIC_POSITIONS crystal
Li 0.0000 0.0000 0.5000
Li 0.5000 0.5000 0.0000
Cu 0.5000 0.5000 0.5000
In 0.0000 0.5000 0.7430
In 0.5000 0.0000 0.2570
Y 0.5000 0.0000 0.7400
Y 0.0000 0.5000 0.2600
Ag 0.0000 0.0000 0.0000
CELL_PARAMETERS angstrom
4.8043 0.0000 0.0000
0.0000 4.8043 0.0000
0.0000 0.0000 6.8185

***

(17)
! NaYPt, optimized geometry, DFT GGA-PBE; values from VASP
! Calculated total energy, eV for the cell shown: -14.30
! E above lowest polymorph, eV/atom: 0.381
! ρ, Mg/m³: 6.72
! Space-group type: F-43m
&SYSTEM
  ibrav = 0, nat = 3, ntyp = 3
/
ATOMIC_SPECIES
Y 88.91 Y.upf
Na 22.99 Na.upf
Pt 195.08 Pt.upf
ATOMIC_POSITIONS crystal
Y 0.0000 0.0000 0.0000
Na 0.2500 0.2500 0.2500
Pt 0.7500 0.7500 0.7500
CELL_PARAMETERS angstrom
2.0864 -3.8418 -1.8601
0.7725 -3.8282 2.7057
-2.5228 -3.9621 -0.7142

***

(18)
! Hf3AlC, optimized geometry, DFT GGA-PBE; values from VASP
! Calculated total energy, eV for the cell shown: -91.73
! ρ, Mg/m³: 10.94
! Space-group type: Cmcm
&SYSTEM
  ibrav = 0, nat = 10, ntyp = 3
/
ATOMIC_SPECIES
Hf 178.49 Hf.upf
Al 26.98 Al.upf
C 12.01 C.upf
ATOMIC_POSITIONS crystal
Hf 0.8714 0.1286 0.4597
Hf 0.1286 0.8714 0.9597
Hf 0.5408 0.4592 0.2500
Hf 0.8714 0.1286 0.0403
Hf 0.4592 0.5408 0.7500
Hf 0.1286 0.8714 0.5403
Al 0.7507 0.2493 0.7500
Al 0.2493 0.7507 0.2500
C 0.5000 0.5000 0.5000
C 0.5000 0.5000 0.0000
CELL_PARAMETERS angstrom
-3.6928 4.2360 -2.0775
2.3642 -2.7424 4.7735
6.7979 5.9519 0.0527

***

(19)
! Na2ZnGaF7, optimized geometry, DFT GGA-PBE; values from VASP
! Calculated total energy, eV for the cell shown: -390.12
! E above lowest polymorph, eV/atom: 0.000
! ρ, Mg/m³: 3.99
! Space-group type: C2/c
&SYSTEM
  ibrav = 0, nat = 88, ntyp = 4
/
ATOMIC_SPECIES
F 19.00 F.upf
Zn 65.41 Zn.upf
Ga 69.72 Ga.upf
Na 22.99 Na.upf
ATOMIC_POSITIONS crystal
F 0.9295 0.5333 0.3924
F 0.7023 0.3547 0.4040
F 0.6349 0.1343 0.2923
F 0.8591 0.4195 0.0446
F 0.4715 0.3658 0.2111
F 0.4753 0.0877 0.6571
F 0.1409 0.5805 0.9554
F 0.4667 0.0705 0.1076
F 0.2966 0.3402 0.3566
F 0.1353 0.2022 0.9688
F 0.7423 0.5785 0.9530
F 0.4215 0.2577 0.5470
F 0.2960 0.7327 0.3562
F 0.6342 0.5285 0.2889
F 0.1343 0.6349 0.7923
F 0.1891 0.6351 0.4550
F 0.8109 0.3649 0.5450
F 0.0308 0.1355 0.2915
F 0.9372 0.9295 0.8940
F 0.6598 0.7034 0.1434
F 0.6351 0.1891 0.9550
F 0.9837 0.3513 0.7043
F 0.3651 0.8657 0.7077
F 0.3649 0.8109 0.0449
F 0.5285 0.6342 0.7889
F 0.5333 0.9295 0.8924
F 0.8657 0.3651 0.2077
F 0.8647 0.7978 0.0312
F 0.2022 0.1353 0.4688
F 0.2673 0.7040 0.1438
F 0.3402 0.2966 0.8566
F 0.5805 0.1409 0.4554
F 0.9123 0.5247 0.8429
F 0.1355 0.0308 0.7915
F 0.2577 0.4215 0.0470
F 0.3658 0.4715 0.7111
F 0.6487 0.0163 0.7957
F 0.0705 0.0628 0.6060
F 0.0705 0.4667 0.6076
F 0.7327 0.2960 0.8562
F 0.6453 0.2977 0.0960
F 0.5247 0.9123 0.3429
F 0.7040 0.2673 0.6438
F 0.5785 0.7423 0.4530
F 0.9692 0.8645 0.7085
F 0.3547 0.7023 0.9040
F 0.3513 0.9837 0.2043
F 0.2977 0.6453 0.5960
F 0.8645 0.9692 0.2085
F 0.4195 0.8591 0.5446
F 0.0163 0.6487 0.2957
F 0.7034 0.6598 0.6434
F 0.9295 0.9372 0.3940
F 0.0877 0.4753 0.1571
F 0.7978 0.8647 0.5312
F 0.0628 0.0705 0.1060
Zn 0.3848 0.3712 0.6286
Zn 0.3865 0.8666 0.6261
Zn 0.6135 0.1334 0.3739
Zn 0.3712 0.3848 0.1286
Zn 0.6152 0.6288 0.3714
Zn 0.6288 0.6152 0.8714
Zn 0.8666 0.3865 0.1261
Zn 0.1334 0.6135 0.8739
Ga 0.6386 0.1090 0.8750
Ga 0.8910 0.3614 0.6250
Ga 0.1090 0.6386 0.3750
Ga 0.5000 0.0000 0.5000
Ga 0.7577 0.2423 0.2500
Ga 0.2423 0.7577 0.7500
Ga 0.0000 0.5000 0.0000
Ga 0.3614 0.8910 0.1250
Na 0.8780 0.8679 0.6209
Na 0.5000 0.5000 0.0000
Na 0.1220 0.1321 0.3791
Na 0.5000 0.5000 0.5000
Na 0.6980 0.7871 0.2461
Na 0.7745 0.2255 0.7500
Na 0.2255 0.7745 0.2500
Na 0.7871 0.6980 0.7461
Na 0.0000 0.5000 0.5000
Na 0.0000 0.0000 0.5000
Na 0.0000 0.0000 0.0000
Na 0.1321 0.1220 0.8791
Na 0.8679 0.8780 0.1209
Na 0.5000 0.0000 0.0000
Na 0.2129 0.3020 0.2539
Na 0.3020 0.2129 0.7539
CELL_PARAMETERS angstrom
6.1594 -3.5920 0.0000
6.1594 3.5920 0.0000
-4.0584 0.0000 23.6585

***

(20)
! DyYGa2I2, optimized geometry, DFT GGA-PBE; values from VASP
! Calculated total energy, eV for the cell shown: -26.46
! ρ, Mg/m³: 5.75
! Space-group type: P3m1
&SYSTEM
  ibrav = 0, nat = 6, ntyp = 4
/
ATOMIC_SPECIES
I 126.90 I.upf
Y 88.91 Y.upf
Dy 162.50 Dy.upf
Ga 69.72 Ga.upf
ATOMIC_POSITIONS crystal
I 0.3333 0.6667 0.1708
I 0.6667 0.3333 0.8293
Y 0.0000 0.0000 0.6654
Dy 0.0000 0.0000 0.3348
Ga 0.3333 0.6667 0.5278
Ga 0.6667 0.3333 0.4718
CELL_PARAMETERS angstrom
4.2029 0.0000 0.0000
-2.1014 3.6398 0.0000
0.0000 0.0000 12.1744